No. 1
Y3Ru2 | the Alexandria database | PBE | optimized geometry; excess energy over the best structure of this formula in the dataset = 34.1 meV/atom; symmetry = P-3m1 (164); spin magnetization = 0.0000 μB per atom; ΔE_f = -0.223 eV/atom; ρ = 6.6 g/cm³
1.0
-4.378 -2.030 -0.256
3.197 -1.556 3.273
-2.031 3.896 3.836
Ru Y
2 3
Cartesian
-2.175 -1.254 1.529
-1.037 1.564 5.324
0.000 0.000 0.000
-3.197 0.706 3.458
-0.015 -0.395 3.395


No. 2
DyAuS | the Alexandria database | PBE | optimized geometry; symmetry = P4_2/mmc (131); uncorrected formation energy = -1184 meV/atom; spin magnetization = 0.0000 μB per atom; ρ = 8.3 g/cm³
1.0
5.386 0.000 0.000
0.000 7.617 0.000
0.000 0.000 7.617
Dy S Au
4 4 4
Cartesian
0.000 3.808 5.799
2.693 1.818 3.808
2.693 5.799 3.808
0.000 3.808 1.818
0.000 5.664 3.808
2.693 3.808 5.664
2.693 3.808 1.953
0.000 1.953 3.808
0.000 6.133 0.000
2.693 0.000 6.133
2.693 0.000 1.484
0.000 1.484 0.000


No. 3
Sm2ErSb3Rh4 | the Alexandria database | PBE | optimized geometry; symmetry = P-4m2 (115); uncorrected formation energy = -857 meV/atom; spin magnetization = 0.0000 μB per atom; ρ = 9.5 g/cm³
1.0
4.357 0.000 0.000
0.000 4.357 0.000
0.000 0.000 11.490
Sm Er Sb Rh
2 1 3 4
Cartesian
2.178 0.000 2.594
0.000 2.178 8.896
2.178 2.178 5.745
0.000 0.000 5.745
2.178 0.000 9.973
0.000 2.178 1.518
2.178 2.178 0.000
0.000 0.000 0.000
2.178 0.000 7.414
0.000 2.178 4.076


No. 4
KSmIr2O8 | the Alexandria database | PBE | optimized geometry; symmetry = P-3m1 (164); uncorrected formation energy = -1145 meV/atom; spin magnetization = 0.1736 μB per atom; ρ = 4.8 g/cm³
1.0
6.006 0.000 0.000
-3.003 5.201 0.000
0.000 0.000 7.754
K Sm Ir O
1 1 2 8
Cartesian
0.000 0.000 0.000
0.000 0.000 3.877
3.003 1.734 1.701
0.000 3.468 6.053
0.000 3.468 0.078
1.530 0.889 2.408
4.471 0.881 2.408
3.003 1.734 7.676
-1.468 4.321 5.345
1.473 4.313 5.345
-0.005 1.770 5.345
3.008 3.432 2.408


No. 5
Ca2Cu6SiPt | the Alexandria database | PBE | optimized geometry; symmetry = P-1 (2); uncorrected formation energy = -198 meV/atom; spin magnetization = 0.0000 μB per atom; ρ = 6.4 g/cm³
1.0
6.185 -0.013 0.025
-0.014 6.413 -0.174
3.105 3.080 4.393
Ca Cu Si Pt
2 6 1 1
Cartesian
6.189 3.832 1.667
3.087 5.648 2.576
2.665 2.287 2.260
7.147 8.605 3.975
4.769 8.157 3.355
4.507 1.323 0.889
2.129 0.874 0.269
6.611 7.193 1.983
0.000 0.000 0.000
3.085 3.200 -0.075


No. 6
Tl15Sn2Sb2 | the Alexandria database | PBE | optimized geometry; symmetry = R-3m (166); uncorrected formation energy = 97 meV/atom; spin magnetization = 0.0000 μB per atom; ρ = 9.1 g/cm³
1.0
6.608 -5.695 -0.675
6.608 5.695 -0.675
2.622 0.000 8.347
Tl Sn Sb
15 2 2
Cartesian
1.311 0.000 4.173
3.304 -2.847 -0.338
3.304 2.847 -0.338
6.608 1.901 -0.675
3.950 1.897 5.342
5.280 -3.798 2.329
5.280 3.798 2.329
3.950 -1.897 5.342
6.608 -1.901 -0.675
9.295 0.000 0.441
7.263 2.903 5.041
7.263 -2.903 5.041
6.542 0.000 6.555
8.574 -2.903 1.955
8.574 2.903 1.955
4.350 0.000 1.921
11.488 0.000 5.074
1.674 0.000 0.739
14.163 0.000 6.256